(1)
Density functional theory data (PBE) for a relaxed structure of Ce2Co4P3Ir.

Structure (POSCAR):
```
Ce2Co4P3Ir
1.0
3.732 0.000 0.000
0.000 3.732 0.000
0.000 0.000 10.449
Ce Co P Ir
2 4 3 1
direct
0.000 0.500 0.243
0.500 0.000 0.757
0.000 0.000 0.500
0.000 0.500 0.830
0.500 0.000 0.170
0.500 0.500 0.500
0.000 0.000 0.000
0.000 0.500 0.620
0.500 0.000 0.380
0.500 0.500 0.000
```

Calculated values
**Space-group type**: P-4m2, No. 115

(2)
Density functional theory data (PBE) for a relaxed structure of K2Na2Hg.

Structure (POSCAR):
```
K2Na2Hg
1.0
9.225 0.000 0.000
0.000 9.225 0.000
0.000 0.000 5.852
K Na Hg
4 4 2
direct
0.157 0.343 0.000
0.343 0.843 0.000
0.657 0.157 0.000
0.843 0.657 0.000
0.154 0.654 0.500
0.346 0.154 0.500
0.654 0.846 0.500
0.846 0.346 0.500
0.000 0.000 0.000
0.500 0.500 0.000
```

Calculated values
**Space-group type**: P4/mbm, No. 127
**Energy above the lowest structure with this stoichiometry**: 106 meV/atom

(3)
Density functional theory data (PBE) for a relaxed structure of LaTbHgIr.

Structure (POSCAR):
```
LaTbHgIr
1.0
4.211 0.000 0.000
-2.106 3.647 0.000
0.000 0.000 7.509
La Tb Hg Ir
1 1 1 1
direct
0.000 0.000 0.000
0.333 0.667 0.606
0.667 0.333 0.323
0.667 0.333 0.792
```

Calculated values
**Space-group type**: P3m1, No. 156
**Energy above the lowest structure with this stoichiometry**: 0 meV/atom

| no. | DFT total energy (eV per atom) |
| --- | --- |
| 1 | -7.345 |
| 2 | -0.993 |
| 3 | -5.310 |